Density functional theory data (GGA-PBE) for a geometry-optimized MgCoCuTe structure.

a b c (Å): 4.463 4.463 4.463
angles (deg): 60.00 60.00 60.00
Atoms (fractional coordinates):
Mg (0.000, 0.000, 0.000)
Co (0.750, 0.750, 0.750)
Cu (0.250, 0.250, 0.250)
Te (0.500, 0.500, 0.500)

Symmetry: F-43m (216)
Excess energy over the best structure of this formula in the dataset (eV per atom): 0.0000